This record from Alexandria describes a relaxed NdThSi crystal. The functional is PBE-GGA.

The value obtained for the formation energy from raw total energies is -129 meV per atom.

abc: 4.5340 4.6386 4.6386
angles: 120.00 90.00 90.00
Sites, in units of the cell vectors:
Nd 0.7308 0.6667 0.3333
Th 0.2714 0.3333 0.6667
Si 0.9978 0.0000 0.0000